Record 1
# Sr2NiAu PBE relaxed
data_Sr2NiAu
_space_group_name_H-M_alt 'P 1'
_space_group_IT_number 1
_cell_length_a 3.793
_cell_length_b 5.283
_cell_length_c 5.283
_cell_angle_alpha 90.00
_cell_angle_beta 90.00
_cell_angle_gamma 90.00
loop_
_space_group_symop_operation_xyz
'x,y,z'
loop_
_atom_site_label
_atom_site_type_symbol
_atom_site_fract_x
_atom_site_fract_y
_atom_site_fract_z
Sr1 Sr 0.000 0.000 0.500
Sr2 Sr 0.000 0.500 0.000
Ni1 Ni 0.500 0.000 0.000
Au1 Au 0.500 0.500 0.500
# Raw total energy in eV per atom: -3.37
# Formation enthalpy at 0 K in eV per atom: -0.265
# Symmetry: P4/mmm, No. 123
# Density of states at the Fermi level in states/eV per cell: 2.28



Record 2
# SrNiAu4 PBE relaxed
data_SrNiAu4
_space_group_name_H-M_alt 'P 1'
_space_group_IT_number 1
_cell_length_a 5.589
_cell_length_b 5.589
_cell_length_c 5.589
_cell_angle_alpha 60.00
_cell_angle_beta 60.00
_cell_angle_gamma 60.00
loop_
_space_group_symop_operation_xyz
'x,y,z'
loop_
_atom_site_label
_atom_site_type_symbol
_atom_site_fract_x
_atom_site_fract_y
_atom_site_fract_z
Sr1 Sr 0.000 0.000 0.000
Au1 Au 0.376 0.376 0.376
Au2 Au 0.376 0.873 0.376
Au3 Au 0.376 0.376 0.873
Au4 Au 0.873 0.376 0.376
Ni1 Ni 0.750 0.750 0.750
# Raw total energy in eV per atom: -3.59
# Formation enthalpy at 0 K in eV per atom: -0.163
# Symmetry: F-43m, No. 216
# Density of states at the Fermi level in states/eV per cell: 5.19